1.
! ScRuAu2 PBE relaxed; values from VASP
! **ΔH_f (0 K)**: -319 meV/atom
! **Symmetry**: I4/mmm (139)
&SYSTEM
  ibrav = 0, nat = 4, ntyp = 3
/
ATOMIC_SPECIES
Sc 44.96 Sc.upf
Ru 101.07 Ru.upf
Au 196.97 Au.upf
CELL_PARAMETERS angstrom
-2.0029 2.0029 4.2777
2.0029 -2.0029 4.2777
2.0029 2.0029 -4.2777
ATOMIC_POSITIONS angstrom
Sc 0.0000 0.0000 0.0000
Ru 0.0000 0.0000 4.2777
Au 2.0029 0.0000 2.1389
Au 0.0000 2.0029 2.1389

---

2.
! Ho2ErThSe4 PBE relaxed; values from VASP
! **Formation energy without anion corrections**: -1650.8 meV/atom
! **Symmetry**: P2/m (10)
&SYSTEM
  ibrav = 0, nat = 8, ntyp = 4
/
ATOMIC_SPECIES
Ho 164.93 Ho.upf
Er 167.26 Er.upf
Th 232.04 Th.upf
Se 78.96 Se.upf
CELL_PARAMETERS angstrom
7.0872 0.0000 0.0000
0.0000 4.0413 0.0000
-2.3184 0.0000 6.7681
ATOMIC_POSITIONS angstrom
Ho 0.0000 0.0000 0.0000
Ho -1.1592 2.0206 3.3841
Er 2.3844 0.0000 3.3841
Th 3.5436 2.0206 0.0000
Se -0.0130 0.0000 4.9959
Se 1.1490 2.0206 1.7379
Se 3.6197 2.0206 5.0302
Se 4.7818 0.0000 1.7722

---

3.
! MgSc2Ru PBE relaxed; values from VASP
! **ΔH_f (0 K)**: 39 meV/atom
! **Symmetry**: I-42d (122)
&SYSTEM
  ibrav = 0, nat = 8, ntyp = 3
/
ATOMIC_SPECIES
Mg 24.30 Mg.upf
Sc 44.96 Sc.upf
Ru 101.07 Ru.upf
CELL_PARAMETERS angstrom
-3.8701 3.8701 2.9170
3.8701 -3.8701 2.9170
3.8701 3.8701 -2.9170
ATOMIC_POSITIONS angstrom
Mg 0.0000 0.0000 0.0000
Mg 0.0000 3.8701 1.4585
Sc 1.9351 -1.4273 2.1877
Sc 2.4429 1.9351 0.7292
Sc 1.9351 5.2974 -0.7292
Sc 1.4273 1.9351 3.6462
Ru 3.8701 0.0000 1.4585
Ru 0.0000 0.0000 2.9170

---

4.
! CeSBr PBE relaxed; values from VASP
! **Formation energy without anion corrections**: -1821.4 meV/atom
! **Symmetry**: P3m1 (156)
&SYSTEM
  ibrav = 0, nat = 3, ntyp = 3
/
ATOMIC_SPECIES
Ce 140.12 Ce.upf
S 32.06 S.upf
Br 79.90 Br.upf
CELL_PARAMETERS angstrom
4.3125 0.0000 0.0000
-2.1563 3.7347 0.0000
0.0000 0.0000 6.6002
ATOMIC_POSITIONS angstrom
Ce 0.0000 0.0000 0.0000
S 0.0000 2.4898 1.1616
Br 2.1563 1.2449 4.7801

---

5.
! KInBr4 PBE relaxed; values from VASP
! **Formation energy without anion corrections**: -1148.6 meV/atom
! **Symmetry**: P2_1/c (14)
&SYSTEM
  ibrav = 0, nat = 24, ntyp = 3
/
ATOMIC_SPECIES
K 39.10 K.upf
In 114.82 In.upf
Br 79.90 Br.upf
CELL_PARAMETERS angstrom
9.4390 0.0000 0.0000
0.0000 10.4816 0.0000
-6.9863 0.0000 9.8582
ATOMIC_POSITIONS angstrom
K -0.1282 1.6303 2.7413
K -3.6213 3.6105 7.6704
K 6.0741 6.8711 2.1878
K 2.5809 8.8513 7.1169
In 1.5401 6.9915 1.9529
In -1.9530 8.7309 6.8820
In 4.4058 1.7507 2.9762
In 0.9127 3.4901 7.9053
Br -3.2301 6.7187 5.9746
Br 0.2630 9.0037 1.0454
Br -0.2217 5.2651 2.5663
Br -3.7148 10.4573 7.4954
Br 3.1922 6.3185 0.1255
Br -0.3009 9.4039 5.0546
Br 2.8149 2.2937 1.0587
Br -0.6782 2.9471 5.9879
Br 3.1310 7.5345 3.8704
Br -0.3622 8.1879 8.7995
Br 2.7537 1.0777 4.8037
Br -0.7394 4.1631 9.7328
Br 6.1676 0.0243 2.3628
Br 2.6744 5.2165 7.2919
Br 2.1898 1.4779 8.8128
Br 5.6829 3.7629 3.8837

---

6.
! TaNb2N PBE relaxed; values from VASP
! **Formation energy without anion corrections**: 203.4 meV/atom
! **Symmetry**: I-42d (122)
&SYSTEM
  ibrav = 0, nat = 8, ntyp = 3
/
ATOMIC_SPECIES
Ta 180.95 Ta.upf
Nb 92.91 Nb.upf
N 14.01 N.upf
CELL_PARAMETERS angstrom
-3.0973 3.0973 3.6416
3.0973 -3.0973 3.6416
3.0973 3.0973 -3.6416
ATOMIC_POSITIONS angstrom
Ta 0.0000 0.0000 0.0000
Ta 0.0000 3.0973 1.8208
Nb 1.5487 -0.9172 2.7312
Nb 2.1801 1.5487 0.9104
Nb 1.5487 4.0146 -0.9104
Nb 0.9172 1.5487 4.5520
N 3.0973 0.0000 1.8208
N 0.0000 0.0000 3.6416

---

Here are the calculated VASP energy numbers, same order: -23.439, -48.283, -46.752, -17.198, -69.676, -79.008 (eV/cell).
Here are the calculated size of the total moment numbers, same order: 0.8, 0.0, 0.0, 1.0, 0.0, 0.0 (μB/f.u.).